# Ag3Se SCAN PBEsol geometry
data_Ag3Se
_chemical_formula_sum 'Ag6 Se2'
_cell_length_a 5.8761
_cell_length_b 5.8761
_cell_length_c 4.7069
_cell_angle_alpha 90.00
_cell_angle_beta 90.00
_cell_angle_gamma 120.00
_space_group_name_H-M_alt 'P 63/m m c'
_space_group_IT_number 194
_space_group_name_Hall '-P 6c 2c'
loop_
_atom_site_label
_atom_site_fract_x
_atom_site_fract_y
_atom_site_fract_z
_atom_site_occupancy
Ag1 0.1626 0.3252 0.2500 1
Se1 0.3333 0.6667 0.7500 1
# Total energy in eV/atom: -28.524
# Density of states at the Fermi level in states/eV per cell: 1.47


# AgSe2 SCAN PBEsol geometry
data_AgSe2
_chemical_formula_sum 'Ag1 Se2'
_cell_length_a 4.974
_cell_length_b 4.974
_cell_length_c 2.716
_cell_angle_alpha 90.00
_cell_angle_beta 90.00
_cell_angle_gamma 90.00
_space_group_name_H-M_alt 'P 4/m m m'
_space_group_IT_number 123
_space_group_name_Hall '-P 4 2'
loop_
_atom_site_label
_atom_site_fract_x
_atom_site_fract_y
_atom_site_fract_z
_atom_site_occupancy
Ag1 0.000 0.000 0.000 1
Se1 0.000 0.500 0.500 1
# Total energy in eV/atom: -23.549
# Density of states at the Fermi level in states/eV per cell: 1.69


# Ag3Se SCAN PBEsol geometry
data_Ag3Se
_chemical_formula_sum 'Ag6 Se2'
_cell_length_a 4.701
_cell_length_b 5.801
_cell_length_c 5.171
_cell_angle_alpha 90.00
_cell_angle_beta 90.00
_cell_angle_gamma 90.00
_space_group_name_H-M_alt 'P m m n'
_space_group_IT_number 59
loop_
_space_group_symop_operation_xyz
'x,y,z'
'-x,-y,-z'
'-x+1/2,-y+1/2,z'
'x+1/2,y+1/2,-z'
'x+1/2,-y,-z'
'-x+1/2,y,z'
'-x,y+1/2,-z'
'x,-y+1/2,z'
loop_
_atom_site_label
_atom_site_fract_x
_atom_site_fract_y
_atom_site_fract_z
_atom_site_occupancy
Ag1 0.250 0.000 0.159 1
Ag2 0.250 0.250 0.672 1
Se1 0.250 0.750 0.662 1
# Total energy in eV/atom: -28.489
# Density of states at the Fermi level in states/eV per cell: 3.09


# Ag3Se SCAN PBEsol geometry
data_Ag3Se
_chemical_formula_sum 'Ag3 Se1'
_cell_length_a 4.117
_cell_length_b 4.117
_cell_length_c 4.117
_cell_angle_alpha 90.00
_cell_angle_beta 90.00
_cell_angle_gamma 90.00
_space_group_name_H-M_alt 'P m -3 m'
_space_group_IT_number 221
_space_group_name_Hall '-P 4 2 3'
loop_
_atom_site_label
_atom_site_fract_x
_atom_site_fract_y
_atom_site_fract_z
_atom_site_occupancy
Ag1 0.000 0.000 0.500 1
Se1 0.500 0.500 0.500 1
# Total energy in eV/atom: -28.531
# Density of states at the Fermi level in states/eV per cell: 1.07


# Ag3Se SCAN PBEsol geometry
data_Ag3Se
_chemical_formula_sum 'Ag6 Se2'
_cell_length_a 5.709
_cell_length_b 8.634
_cell_length_c 2.852
_cell_angle_alpha 90.00
_cell_angle_beta 90.00
_cell_angle_gamma 90.00
_space_group_name_H-M_alt 'C m m m'
_space_group_IT_number 65
_space_group_name_Hall '-C 2 2'
loop_
_atom_site_label
_atom_site_fract_x
_atom_site_fract_y
_atom_site_fract_z
_atom_site_occupancy
Ag1 0.000 0.000 0.000 1
Ag2 0.250 0.250 0.500 1
Se1 0.000 0.500 0.000 1
# Total energy in eV/atom: -28.398
# Density of states at the Fermi level in states/eV per cell: 2.21


# Ag3Se SCAN PBEsol geometry
data_Ag3Se
_chemical_formula_sum 'Ag3 Se1'
_cell_length_a 2.886
_cell_length_b 4.679
_cell_length_c 5.249
_cell_angle_alpha 90.00
_cell_angle_beta 90.00
_cell_angle_gamma 90.00
_space_group_name_H-M_alt 'P m m 2'
_space_group_IT_number 25
loop_
_space_group_symop_operation_xyz
'x,y,z'
'-x,-y,z'
'-x,y,z'
'x,-y,z'
loop_
_atom_site_label
_atom_site_fract_x
_atom_site_fract_y
_atom_site_fract_z
_atom_site_occupancy
Ag1 0.000 0.000 0.000 1
Ag2 0.000 0.500 0.303 1
Ag3 0.500 0.000 0.479 1
Se1 0.500 0.500 0.787 1
# Total energy in eV/atom: -28.425
# Density of states at the Fermi level in states/eV per cell: 1.24


Please write out number 4 again, unchanged.
# Ag3Se SCAN PBEsol geometry
data_Ag3Se
_chemical_formula_sum 'Ag3 Se1'
_cell_length_a 4.117
_cell_length_b 4.117
_cell_length_c 4.117
_cell_angle_alpha 90.00
_cell_angle_beta 90.00
_cell_angle_gamma 90.00
_space_group_name_H-M_alt 'P m -3 m'
_space_group_IT_number 221
_space_group_name_Hall '-P 4 2 3'
loop_
_atom_site_label
_atom_site_fract_x
_atom_site_fract_y
_atom_site_fract_z
_atom_site_occupancy
Ag1 0.000 0.000 0.500 1
Se1 0.500 0.500 0.500 1
# Total energy in eV/atom: -28.531
# Density of states at the Fermi level in states/eV per cell: 1.07


total energy of number 1 (Ag3Se)? -28.524 eV/atom